The following is a GGA+U calculation of an optimized crystal structure of Cu3WF, from Alexandria.

```
5
Lattice="4.834 0.000 0.000 0.000 4.834 0.000 0.000 0.000 4.834" Properties=species:S:1:pos:R:3 pbc="T T T"
Cu 0.000 0.000 2.417
Cu 0.000 2.417 0.000
Cu 2.417 0.000 0.000
W 0.000 0.000 0.000
F 2.417 2.417 2.417
```

Computed properties:
Offset from the most stable computed form in meV per atom: 909.0
Spin magnetization in μB/atom: 0.00
Energy in eV/cell: -14.11